Entry 1:
# PBE Mn2ZnCdBi, optimized geometry
# total magnetic moment	7.9	Bohr magnetons per cell
# electronic total energy	-4.04	eV/atom
# ΔH_f (0 K)	0.84	eV/atom
data_Mn2ZnCdBi
_chemical_formula_sum 'Mn2 Zn1 Cd1 Bi1'
_symmetry_space_group_name_H-M 'P 4/m m m'
_symmetry_Int_Tables_number 123
_symmetry_space_group_name_Hall '-P 4 2'
_cell_length_a 5.068
_cell_length_b 5.068
_cell_length_c 4.834
_cell_angle_alpha 90.00
_cell_angle_beta 90.00
_cell_angle_gamma 90.00
loop_
_atom_site_label
_atom_site_fract_x
_atom_site_fract_y
_atom_site_fract_z
Mn1 0.000 0.500 0.000
Zn1 0.000 0.000 0.500
Cd1 0.000 0.000 0.000
Bi1 0.500 0.500 0.500


Entry 2:
# PBE CdBi3Mo, optimized geometry
# total magnetic moment	0.0	Bohr magnetons per cell
# electronic total energy	-4.13	eV/atom
# ΔH_f (0 K)	0.55	eV/atom
data_CdBi3Mo
_chemical_formula_sum 'Cd1 Bi3 Mo1'
_symmetry_space_group_name_H-M 'P m -3 m'
_symmetry_Int_Tables_number 221
_symmetry_space_group_name_Hall '-P 4 2 3'
_cell_length_a 5.426
_cell_length_b 5.426
_cell_length_c 5.426
_cell_angle_alpha 90.00
_cell_angle_beta 90.00
_cell_angle_gamma 90.00
loop_
_atom_site_label
_atom_site_fract_x
_atom_site_fract_y
_atom_site_fract_z
Cd1 0.000 0.000 0.000
Bi1 0.000 0.500 0.500
Mo1 0.500 0.500 0.500


Entry 3:
# PBE Cd2BiMo, optimized geometry
# total magnetic moment	5.1	Bohr magnetons per cell
# electronic total energy	-3.40	eV/atom
# ΔH_f (0 K)	0.74	eV/atom
data_Cd2BiMo
_chemical_formula_sum 'Cd8 Bi4 Mo4'
_symmetry_space_group_name_H-M 'I -4 2 d'
_symmetry_Int_Tables_number 122
_symmetry_space_group_name_Hall 'I -4 2bw'
_cell_length_a 8.376
_cell_length_b 8.376
_cell_length_c 5.563
_cell_angle_alpha 90.00
_cell_angle_beta 90.00
_cell_angle_gamma 90.00
loop_
_atom_site_label
_atom_site_fract_x
_atom_site_fract_y
_atom_site_fract_z
Cd1 0.218 0.250 0.125
Bi1 0.000 0.000 0.500
Mo1 0.000 0.000 0.000


Entry 4:
# PBE CdBi2Mo, optimized geometry
# total magnetic moment	8.0	Bohr magnetons per cell
# electronic total energy	-4.11	eV/atom
# ΔH_f (0 K)	0.76	eV/atom
data_CdBi2Mo
_chemical_formula_sum 'Cd4 Bi8 Mo4'
_symmetry_space_group_name_H-M 'I -4 2 d'
_symmetry_Int_Tables_number 122
_symmetry_space_group_name_Hall 'I -4 2bw'
_cell_length_a 6.567
_cell_length_b 6.567
_cell_length_c 13.354
_cell_angle_alpha 90.00
_cell_angle_beta 90.00
_cell_angle_gamma 90.00
loop_
_atom_site_label
_atom_site_fract_x
_atom_site_fract_y
_atom_site_fract_z
Cd1 0.000 0.000 0.000
Bi1 0.217 0.250 0.625
Mo1 0.000 0.000 0.500